# 1
The following is a PBE-GGA calculation of an optimized crystal structure of Zn2NiCl, from Alexandria via LeMat-Bulk.

Values from the calculation:
space-group type	No. 216
offset from the most stable computed form	2.40	eV/f.u.
size of the total moment	0.000	μB per atom
ΔE_f (raw)	396	meV per atom

Structure (CIF):
```
data_Zn2NiCl
_chemical_formula_sum 'Zn2 Ni1 Cl1'
_cell_length_a 4.508
_cell_length_b 4.508
_cell_length_c 4.508
_cell_angle_alpha 60.00
_cell_angle_beta 60.00
_cell_angle_gamma 60.00
_space_group_name_H-M_alt 'P 1'
_space_group_IT_number 1
loop_
_space_group_symop_operation_xyz
'x,y,z'
loop_
_atom_site_label
_atom_site_type_symbol
_atom_site_fract_x
_atom_site_fract_y
_atom_site_fract_z
Cl1 Cl 0.500 0.500 0.500
Ni1 Ni 0.250 0.250 0.250
Zn1 Zn 0.000 0.000 0.000
Zn2 Zn 0.750 0.750 0.750
```

***

# 2
The following is a PBE-GGA calculation of an optimized crystal structure of Cs12Au5O3, from Alexandria via LeMat-Bulk.

Values from the calculation:
space-group type	No. 189
offset from the most stable computed form	0.00	eV/f.u.
size of the total moment	0.000	μB per atom
ΔE_f (raw)	-629	meV per atom

Structure (CIF):
```
data_Cs12Au5O3
_chemical_formula_sum 'Cs12 Au5 O3'
_cell_length_a 4.640
_cell_length_b 14.810
_cell_length_c 14.810
_cell_angle_alpha 120.00
_cell_angle_beta 90.00
_cell_angle_gamma 90.00
_space_group_name_H-M_alt 'P 1'
_space_group_IT_number 1
loop_
_space_group_symop_operation_xyz
'x,y,z'
loop_
_atom_site_label
_atom_site_type_symbol
_atom_site_fract_x
_atom_site_fract_y
_atom_site_fract_z
Cs1 Cs 0.000 0.799 0.000
Cs2 Cs 0.000 0.201 0.201
Cs3 Cs 0.000 0.000 0.799
Cs4 Cs 0.000 0.538 0.000
Cs5 Cs 0.000 0.462 0.462
Cs6 Cs 0.000 0.000 0.538
Cs7 Cs 0.500 0.216 0.437
Cs8 Cs 0.500 0.221 0.784
Cs9 Cs 0.500 0.784 0.221
Cs10 Cs 0.500 0.563 0.779
Cs11 Cs 0.500 0.779 0.563
Cs12 Cs 0.500 0.437 0.216
Au1 Au 0.000 0.333 0.667
Au2 Au 0.000 0.667 0.333
Au3 Au 0.000 0.282 0.000
Au4 Au 0.000 0.718 0.718
Au5 Au 0.000 0.000 0.282
O1 O 0.500 0.667 0.000
O2 O 0.500 0.333 0.333
O3 O 0.500 0.000 0.667
```

***

# 3
The following is a PBE-GGA calculation of an optimized crystal structure of AgH3Pd5, from Alexandria via LeMat-Bulk.

Values from the calculation:
space-group type	No. 8
offset from the most stable computed form	0.00	eV/f.u.
size of the total moment	0.000	μB per atom

Structure (CIF):
```
data_AgH3Pd5
_chemical_formula_sum 'Ag2 H6 Pd10'
_cell_length_a 5.844
_cell_length_b 5.844
_cell_length_c 8.768
_cell_angle_alpha 59.11
_cell_angle_beta 59.11
_cell_angle_gamma 59.21
_space_group_name_H-M_alt 'P 1'
_space_group_IT_number 1
loop_
_space_group_symop_operation_xyz
'x,y,z'
loop_
_atom_site_label
_atom_site_type_symbol
_atom_site_fract_x
_atom_site_fract_y
_atom_site_fract_z
Ag1 Ag 0.916 0.916 0.333
Ag2 Ag 0.092 0.092 0.674
H1 H 0.335 0.335 0.147
H2 H 0.384 0.384 0.749
H3 H 0.938 0.938 0.967
H4 H 0.018 0.018 0.490
H5 H 0.677 0.677 0.817
H6 H 0.618 0.618 0.265
Pd1 Pd 0.595 0.082 0.668
Pd2 Pd 0.263 0.747 0.008
Pd3 Pd 0.250 0.250 0.007
Pd4 Pd 0.592 0.592 0.668
Pd5 Pd 0.412 0.412 0.344
Pd6 Pd 0.747 0.747 0.006
Pd7 Pd 0.082 0.595 0.668
Pd8 Pd 0.747 0.263 0.008
Pd9 Pd 0.410 0.925 0.342
Pd10 Pd 0.925 0.410 0.342
```

***

# 4
The following is a PBE-GGA calculation of an optimized crystal structure of LiPmPrSc, from Alexandria via LeMat-Bulk.

Values from the calculation:
space-group type	No. 216
size of the total moment	0.000	μB per atom
energy of formation	0.135	eV per atom

Structure (CIF):
```
data_LiPmPrSc
_chemical_formula_sum 'Li1 Pm1 Pr1 Sc1'
_cell_length_a 5.463
_cell_length_b 5.463
_cell_length_c 5.463
_cell_angle_alpha 60.00
_cell_angle_beta 60.00
_cell_angle_gamma 60.00
_space_group_name_H-M_alt 'P 1'
_space_group_IT_number 1
loop_
_space_group_symop_operation_xyz
'x,y,z'
loop_
_atom_site_label
_atom_site_type_symbol
_atom_site_fract_x
_atom_site_fract_y
_atom_site_fract_z
Pr1 Pr 0.750 0.750 0.750
Sc1 Sc 0.000 0.000 0.000
Li1 Li 0.500 0.500 0.500
Pm1 Pm 0.250 0.250 0.250
```

***

| no. | ρ (Mg/m³) |
| --- | --- |
| 1 | 5.77 |
| 2 | 4.95 |
| 3 | 10.29 |
| 4 | 4.87 |